# 1
The following is a DFT calculation (GGA-PBE) of an optimized crystal structure of P4PbN7.

a = 12.401 Å, b = 5.037 Å, c = 4.695 Å
α = 90.00°, β = 90.00°, γ = 90.00°
Space group Pmn2_1 (No. 31)
Symmetry-distinct sites (fractional):
P  0.119  0.173  0.000 x4
P  0.244  0.323  0.474 x4
Pb  0.000  0.690  0.515 x2
N  0.000  0.219  0.876 x2
N  0.129  0.274  0.326 x4
N  0.160  0.879  0.929 x4
N  0.210  0.385  0.822 x4



# 2
The following is a DFT calculation (GGA-PBE) of an optimized crystal structure of P2PbN.

a = 4.967 Å, b = 4.967 Å, c = 11.874 Å
α = 90.00°, β = 90.00°, γ = 90.00°
Space group I-42d (No. 122)
Symmetry-distinct sites (fractional):
P  0.018  0.250  0.125 x8
Pb  0.000  0.000  0.500 x4
N  0.000  0.000  0.000 x4

Output
E above lowest polymorph   0.000 eV/atom



# 3
The following is a DFT calculation (GGA-PBE) of an optimized crystal structure of Pm2P2PbN6.

a = 5.888 Å, b = 6.067 Å, c = 6.602 Å
α = 113.97°, β = 101.93°, γ = 108.42°
Space group P-1 (No. 2)
Symmetry-distinct sites (fractional):
Pm  0.209  0.117  0.326 x2
P  0.055  0.513  0.263 x2
Pb  0.500  0.500  0.000 x1
N  0.050  0.270  0.650 x2
N  0.126  0.798  0.920 x2
N  0.360  0.604  0.366 x2



# 4
The following is a DFT calculation (GGA-PBE) of an optimized crystal structure of PPbSN2.

a = 4.331 Å, b = 4.331 Å, c = 5.492 Å
α = 90.00°, β = 90.00°, γ = 90.00°
Space group P4/mmm (No. 123)
Symmetry-distinct sites (fractional):
P  0.000  0.000  0.000 x1
Pb  0.500  0.500  0.500 x1
S  0.500  0.500  0.000 x1
N  0.000  0.500  0.500 x2

Output
E above lowest polymorph   1.245 eV/atom



| no. | formation energy without anion corrections (meV per atom) | calculated volume (A^3/atom) |
| --- | --- | --- |
| 1 | -167 | 12.2 |
| 2 | 672 | 18.3 |
| 3 | -609 | 17.1 |
| 4 | 2078 | 20.6 |